Arrangement 1

An optimized crystal structure of BaTe2AsN. Source: Alexandria, functional GGA-PBE.

Space-group type: No. 123

a = 6.0674 Å, b = 6.0674 Å, c = 3.7909 Å
α = 90.00°, β = 90.00°, γ = 90.00°
Closest atoms and distances in Å follow each position.
Fractional positions:
Ba 0.0000 0.0000 0.0000  8 Te 3.58, 2 Ba 3.79
Te 0.0000 0.5000 0.5000  2 As 3.03
Te 0.5000 0.0000 0.5000  2 As 3.03
As 0.5000 0.5000 0.5000  2 N 1.90
N 0.5000 0.5000 0.0000  2 As 1.90

---

Arrangement 2

An optimized crystal structure of BaTe2AsN. Source: Alexandria, functional GGA-PBE.

Space-group type: No. 123

a = 6.5465 Å, b = 6.5465 Å, c = 4.3949 Å
α = 90.00°, β = 90.00°, γ = 90.00°
Closest atoms and distances in Å follow each position.
Fractional positions:
Ba 0.0000 0.0000 0.0000  2 N 2.20
Te 0.0000 0.5000 0.0000  2 Ba 3.27
Te 0.5000 0.0000 0.0000  2 Ba 3.27
As 0.5000 0.5000 0.5000  8 Te 3.94, 2 As 4.39
N 0.0000 0.0000 0.5000  2 Ba 2.20

---

Top of the stability list: arrangement 1, leading by 1.267 eV/atom.

---

Arrangement 1

An optimized crystal structure of Ba3NaAs. Source: Alexandria, functional GGA-PBE.

Space-group type: No. 221

a = 6.5021 Å, b = 6.5021 Å, c = 6.5021 Å
α = 90.00°, β = 90.00°, γ = 90.00°
Closest atoms and distances in Å follow each position.
Fractional positions:
Ba 0.0000 0.0000 0.5000  2 As 3.25
Ba 0.0000 0.5000 0.0000  2 As 3.25
Ba 0.5000 0.0000 0.0000  2 As 3.25
Na 0.5000 0.5000 0.5000  12 Ba 4.60
As 0.0000 0.0000 0.0000  6 Ba 3.25

---

Arrangement 2

An optimized crystal structure of Ba3NaAs. Source: Alexandria, functional GGA-PBE.

Space-group type: No. 12

a = 8.2010 Å, b = 8.2010 Å, c = 11.1129 Å
α = 108.81°, β = 108.81°, γ = 48.19°
Closest atoms and distances in Å follow each position.
Fractional positions:
Ba 0.0993 0.0993 0.2045  2 As 3.24
Ba 0.1579 0.1579 0.6590  1 As 3.18
Ba 0.3629 0.3629 0.0743  3 As 3.27-3.35
Ba 0.6371 0.6371 0.9257  3 As 3.27-3.35
Ba 0.8421 0.8421 0.3410  1 As 3.18
Ba 0.9007 0.9007 0.7955  2 As 3.24
Na 0.4047 0.4047 0.5605  1 Na 3.56
Na 0.5953 0.5953 0.4395  1 Na 3.56
As 0.1310 0.1310 0.9306  6 Ba 3.18-3.35
As 0.8690 0.8690 0.0694  6 Ba 3.18-3.35

---

Top of the stability list: arrangement 2, leading by 0.006 eV/atom.

---

Arrangement 1

An optimized crystal structure of BaNa2As2. Source: Alexandria, functional GGA-PBE.

Space-group type: No. 139

a = 7.1030 Å, b = 7.1030 Å, c = 7.1030 Å
α = 141.14°, β = 141.14°, γ = 56.13°
Closest atoms and distances in Å follow each position.
Fractional positions:
Ba 0.0000 0.0000 0.0000  8 As 3.58, 8 Na 3.92
Na 0.2500 0.7500 0.5000  4 As 3.01, 4 Na 3.34
Na 0.7500 0.2500 0.5000  4 As 3.01, 4 Na 3.34
As 0.3985 0.3985 0.0000  1 As 2.55
As 0.6015 0.6015 0.0000  1 As 2.55

---

Arrangement 2

An optimized crystal structure of BaNa2As2. Source: Alexandria, functional GGA-PBE.

Space-group type: No. 127

a = 8.7151 Å, b = 8.7151 Å, c = 3.3675 Å
α = 90.00°, β = 90.00°, γ = 90.00°
Closest atoms and distances in Å follow each position.
Fractional positions:
Ba 0.0000 0.0000 0.0000  2 Ba 3.37, 4 Na 3.50, 8 As 3.61
Ba 0.5000 0.5000 0.0000  2 Ba 3.37, 4 Na 3.50, 8 As 3.61
Na 0.1146 0.3854 0.0000  1 Na 2.82, 6 As 3.02-3.14
Na 0.3854 0.8854 0.0000  1 Na 2.82, 6 As 3.02-3.14
Na 0.6146 0.1146 0.0000  1 Na 2.82, 6 As 3.02-3.14
Na 0.8854 0.6146 0.0000  1 Na 2.82, 6 As 3.02-3.14
As 0.1825 0.6825 0.5000  6 Na 3.02-3.14, 2 As 3.37
As 0.3175 0.1825 0.5000  6 Na 3.02-3.14, 2 As 3.37
As 0.6825 0.8175 0.5000  6 Na 3.02-3.14, 2 As 3.37
As 0.8175 0.3175 0.5000  6 Na 3.02-3.14, 2 As 3.37

---

Arrangement 3

An optimized crystal structure of BaNa2As2. Source: Alexandria, functional GGA-PBE.

Space-group type: No. 11

a = 5.0745 Å, b = 4.5195 Å, c = 12.5859 Å
α = 90.00°, β = 96.81°, γ = 90.00°
Closest atoms and distances in Å follow each position.
Fractional positions:
Ba 0.1727 0.2500 0.2560  7 As 3.52-3.79, 6 Na 3.78-3.86
Ba 0.8273 0.7500 0.7440  7 As 3.52-3.79, 6 Na 3.78-3.86
Na 0.2512 0.7500 0.5000  4 As 2.98-3.20
Na 0.3561 0.2500 0.8839  5 As 2.82-3.10
Na 0.6439 0.7500 0.1161  5 As 2.82-3.10
Na 0.7488 0.2500 0.5000  4 As 2.98-3.20
As 0.1201 0.7500 0.0123  2 As 2.57, 1 Na 2.82
As 0.2947 0.2500 0.6557  3 Na 2.85-2.98
As 0.7053 0.7500 0.3443  3 Na 2.85-2.98
As 0.8799 0.2500 0.9877  2 As 2.57, 1 Na 2.82

---

Top of the stability list: arrangement 1, leading by 0.038 eV/atom.

---

Arrangement 1

An optimized crystal structure of BaNaAsSe2. Source: Alexandria, functional GGA-PBE.

Space-group type: No. 123

a = 5.3516 Å, b = 5.3516 Å, c = 5.0549 Å
α = 90.00°, β = 90.00°, γ = 90.00°
Closest atoms and distances in Å follow each position.
Fractional positions:
Ba 0.0000 0.0000 0.0000  8 Se 3.68, 4 As 3.78
Na 0.5000 0.5000 0.5000  2 As 2.53, 4 Se 2.68
As 0.5000 0.5000 0.0000  2 Na 2.53
Se 0.0000 0.5000 0.5000  2 Na 2.68
Se 0.5000 0.0000 0.5000  2 Na 2.68

---

Arrangement 2

An optimized crystal structure of BaNaAsSe2. Source: Alexandria, functional GGA-PBE.

Space-group type: No. 123

a = 6.1849 Å, b = 6.1849 Å, c = 6.2749 Å
α = 90.00°, β = 90.00°, γ = 90.00°
Closest atoms and distances in Å follow each position.
Fractional positions:
Ba 0.0000 0.0000 0.0000  4 Se 3.09, 2 As 3.14
Na 0.5000 0.5000 0.5000  4 As 4.37, 8 Se 4.41
As 0.0000 0.0000 0.5000  2 Ba 3.14
Se 0.0000 0.5000 0.0000  2 Ba 3.09
Se 0.5000 0.0000 0.0000  2 Ba 3.09

---

Top of the stability list: arrangement 1, leading by 0.411 eV/atom.

---

Arrangement 1

An optimized crystal structure of BaNb3As. Source: Alexandria, functional GGA-PBE.

Space-group type: No. 221

a = 5.0746 Å, b = 5.0746 Å, c = 5.0746 Å
α = 90.00°, β = 90.00°, γ = 90.00°
Closest atoms and distances in Å follow each position.
Fractional positions:
Ba 0.0000 0.0000 0.0000  6 Nb 2.54
Nb 0.0000 0.0000 0.5000  2 Ba 2.54
Nb 0.0000 0.5000 0.0000  2 Ba 2.54
Nb 0.5000 0.0000 0.0000  2 Ba 2.54
As 0.5000 0.5000 0.5000  12 Nb 3.59

---

Arrangement 2

An optimized crystal structure of BaNb3As. Source: Alexandria, functional GGA-PBE.

Space-group type: No. 221

a = 4.9889 Å, b = 4.9889 Å, c = 4.9889 Å
α = 90.00°, β = 90.00°, γ = 90.00°
Closest atoms and distances in Å follow each position.
Fractional positions:
Ba 0.0000 0.0000 0.0000  12 Nb 3.53
Nb 0.0000 0.5000 0.5000  2 As 2.49
Nb 0.5000 0.0000 0.5000  2 As 2.49
Nb 0.5000 0.5000 0.0000  2 As 2.49
As 0.5000 0.5000 0.5000  6 Nb 2.49

---

Top of the stability list: arrangement 2, leading by 1.797 eV/atom.

---

Arrangement 1

An optimized crystal structure of BaNiAs3. Source: Alexandria, functional GGA-PBE.

Space-group type: No. 221

a = 4.8650 Å, b = 4.8650 Å, c = 4.8650 Å
α = 90.00°, β = 90.00°, γ = 90.00°
Closest atoms and distances in Å follow each position.
Fractional positions:
Ba 0.0000 0.0000 0.0000  12 As 3.44
Ni 0.5000 0.5000 0.5000  6 As 2.43
As 0.0000 0.5000 0.5000  2 Ni 2.43
As 0.5000 0.0000 0.5000  2 Ni 2.43
As 0.5000 0.5000 0.0000  2 Ni 2.43

---

Arrangement 2

An optimized crystal structure of BaNiAs3. Source: Alexandria, functional GGA-PBE.

Space-group type: No. 221

a = 5.7746 Å, b = 5.7746 Å, c = 5.7746 Å
α = 90.00°, β = 90.00°, γ = 90.00°
Closest atoms and distances in Å follow each position.
Fractional positions:
Ba 0.0000 0.0000 0.0000  6 As 2.89
Ni 0.5000 0.5000 0.5000  12 As 4.08
As 0.0000 0.0000 0.5000  2 Ba 2.89
As 0.0000 0.5000 0.0000  2 Ba 2.89
As 0.5000 0.0000 0.0000  2 Ba 2.89

---

Top of the stability list: arrangement 1, leading by 1.966 eV/atom.